Material: Ac2Nd2Dy
Method: DFT, PBE
State: optimized geometry

- Distance to the lowest polymorph of the same formula: 0.000 eV/atom
- Crystal system: monoclinic

a = 6.5982 Å, b = 6.5982 Å, c = 10.0699 Å
α = 111.71°, β = 96.92°, γ = 104.57°
Closest atoms and distances in Å follow each position.
Positions (direct):
Ac  0.4650  0.3638  0.1472  5 Nd 3.50-3.86, 3 Dy 3.67-3.76, 1 Ac 3.83
Ac  0.2166  0.8178  0.3528  5 Nd 3.50-3.86, 3 Dy 3.67-3.76, 1 Ac 3.83
Ac  0.5350  0.6362  0.8528  5 Nd 3.50-3.86, 3 Dy 3.67-3.76, 1 Ac 3.83
Ac  0.7834  0.1822  0.6472  5 Nd 3.50-3.86, 3 Dy 3.67-3.76, 1 Ac 3.83
Nd  0.9126  0.2423  0.0162  2 Nd 3.46-3.58, 1 Dy 3.49, 5 Ac 3.50-3.86
Nd  0.2260  0.3963  0.4838  2 Nd 3.46-3.58, 1 Dy 3.49, 5 Ac 3.50-3.86
Nd  0.0874  0.7577  0.9838  2 Nd 3.46-3.58, 1 Dy 3.49, 5 Ac 3.50-3.86
Nd  0.7740  0.6037  0.5162  2 Nd 3.46-3.58, 1 Dy 3.49, 5 Ac 3.50-3.86
Dy  0.7404  0.9904  0.2500  4 Nd 3.49-3.87, 6 Ac 3.67-3.76
Dy  0.2596  0.0096  0.7500  4 Nd 3.49-3.87, 6 Ac 3.67-3.76

=====

Material: AcNdDy4
Method: DFT, PBE
State: optimized geometry

- Distance to the lowest polymorph of the same formula: 0.000 eV/atom
- Crystal system: monoclinic

a = 9.1128 Å, b = 6.7445 Å, c = 8.6126 Å
α = 109.76°, β = 119.31°, γ = 95.79°
Closest atoms and distances in Å follow each position.
Positions (direct):
Ac  0.4282  0.6782  0.3564  3 Nd 3.53-3.73, 8 Dy 3.65-3.94, 2 Ac 3.89
Ac  0.5718  0.3218  0.6436  3 Nd 3.53-3.73, 8 Dy 3.65-3.94, 2 Ac 3.89
Nd  0.6912  0.9412  0.8824  6 Dy 3.28-3.61, 1 Ac 3.53
Nd  0.3088  0.0588  0.1176  6 Dy 3.28-3.61, 1 Ac 3.53
Dy  0.2342  0.9916  0.6510  7 Dy 3.47-3.80, 2 Nd 3.58-3.75, 1 Ac 3.65
Dy  0.9798  0.7328  0.1309  2 Nd 3.28-3.61, 4 Dy 3.37-3.57
Dy  0.0832  0.3405  0.3490  7 Dy 3.47-3.80, 2 Nd 3.58-3.75, 1 Ac 3.65
Dy  0.3488  0.6019  0.8691  2 Nd 3.28-3.61, 4 Dy 3.37-3.57
Dy  0.7658  0.0084  0.3490  7 Dy 3.47-3.80, 2 Nd 3.58-3.75, 1 Ac 3.65
Dy  0.9168  0.6595  0.6510  7 Dy 3.47-3.80, 2 Nd 3.58-3.75, 1 Ac 3.65
Dy  0.0202  0.2672  0.8691  2 Nd 3.28-3.61, 4 Dy 3.37-3.57
Dy  0.6512  0.3981  0.1309  2 Nd 3.28-3.61, 4 Dy 3.37-3.57

=====

Material: AcNd4Dy5
Method: DFT, PBE
State: optimized geometry

- Crystal system: tetragonal

a = 3.6710 Å, b = 3.6710 Å, c = 25.3530 Å
α = 90.00°, β = 90.00°, γ = 90.00°
Closest atoms and distances in Å follow each position.
Positions (direct):
Ac  0.0000  0.0000  0.0000  4 Ac 3.67, 8 Dy 3.74
Nd  0.0000  0.0000  0.2039  8 Dy 3.59-3.61, 4 Nd 3.67
Nd  0.0000  0.0000  0.4013  8 Dy 3.60, 4 Nd 3.67
Nd  0.0000  0.0000  0.5987  8 Dy 3.60, 4 Nd 3.67
Nd  0.0000  0.0000  0.7961  8 Dy 3.59-3.61, 4 Nd 3.67
Dy  0.5000  0.5000  0.1062  4 Nd 3.59, 4 Dy 3.67, 4 Ac 3.74
Dy  0.5000  0.5000  0.3029  8 Nd 3.60-3.61, 4 Dy 3.67
Dy  0.5000  0.5000  0.5000  8 Nd 3.60, 4 Dy 3.67
Dy  0.5000  0.5000  0.6971  8 Nd 3.60-3.61, 4 Dy 3.67
Dy  0.5000  0.5000  0.8938  4 Nd 3.59, 4 Dy 3.67, 4 Ac 3.74

=====

Material: Ac5Nd4Dy
Method: DFT, PBE
State: optimized geometry

- Crystal system: tetragonal

a = 4.4422 Å, b = 4.4422 Å, c = 19.9595 Å
α = 90.00°, β = 90.00°, γ = 90.00°
Closest atoms and distances in Å follow each position.
Positions (direct):
Ac  0.5000  0.5000  0.0978  4 Dy 3.70, 4 Nd 3.75, 2 Ac 3.90-4.04
Ac  0.5000  0.5000  0.3003  8 Nd 3.72, 2 Ac 3.99-4.04
Ac  0.5000  0.5000  0.5000  8 Nd 3.72, 2 Ac 3.99
Ac  0.5000  0.5000  0.6997  8 Nd 3.72, 2 Ac 3.99-4.04
Ac  0.5000  0.5000  0.9022  4 Dy 3.70, 4 Nd 3.75, 2 Ac 3.90-4.04
Nd  0.0000  0.0000  0.2000  8 Ac 3.72-3.75, 1 Dy 3.99, 1 Nd 3.99
Nd  0.0000  0.0000  0.4001  8 Ac 3.72, 2 Nd 3.99
Nd  0.0000  0.0000  0.5999  8 Ac 3.72, 2 Nd 3.99
Nd  0.0000  0.0000  0.8000  8 Ac 3.72-3.75, 1 Dy 3.99, 1 Nd 3.99
Dy  0.0000  0.0000  0.0000  8 Ac 3.70, 2 Nd 3.99

=====

Material: Ac2Nd6Dy3
Method: DFT, PBE
State: optimized geometry

- Crystal system: trigonal

a = 3.7109 Å, b = 3.7109 Å, c = 33.1311 Å
α = 86.79°, β = 86.79°, γ = 60.00°
Closest atoms and distances in Å follow each position.
Positions (direct):
Ac  0.5470  0.5470  0.3590  6 Ac 3.71, 6 Nd 3.82-3.83
Ac  0.4530  0.4530  0.6410  6 Ac 3.71, 6 Nd 3.82-3.83
Nd  0.9123  0.9123  0.2630  3 Dy 3.60, 6 Nd 3.71, 3 Ac 3.83
Nd  0.0877  0.0877  0.7370  3 Dy 3.60, 6 Nd 3.71, 3 Ac 3.83
Nd  0.8183  0.8183  0.5452  9 Nd 3.68-3.71, 3 Ac 3.82
Nd  0.1817  0.1817  0.4548  9 Nd 3.68-3.71, 3 Ac 3.82
Nd  0.6375  0.6375  0.0875  6 Dy 3.60-3.61, 6 Nd 3.71
Nd  0.3625  0.3625  0.9125  6 Dy 3.60-3.61, 6 Nd 3.71
Dy  0.0000  0.0000  0.0000  6 Nd 3.60, 6 Dy 3.71
Dy  0.7251  0.7251  0.8246  6 Nd 3.60-3.61, 6 Dy 3.71
Dy  0.2749  0.2749  0.1754  6 Nd 3.60-3.61, 6 Dy 3.71

=====

Material: Ac2Nd7Dy
Method: DFT, PBE
State: optimized geometry

- Distance to the lowest polymorph of the same formula: 0.278 eV/atom
- Crystal system: orthorhombic

a = 3.6338 Å, b = 10.7290 Å, c = 10.7290 Å
α = 109.53°, β = 90.00°, γ = 90.00°
Closest atoms and distances in Å follow each position.
Positions (direct):
Ac  0.5000  0.8256  0.1744  4 Nd 3.36-3.38, 2 Dy 3.56, 2 Ac 3.63
Ac  0.5000  0.1744  0.8256  4 Nd 3.36-3.38, 2 Dy 3.56, 2 Ac 3.63
Nd  0.0000  0.6632  0.3368  2 Ac 3.38, 8 Nd 3.39-3.63
Nd  0.0000  0.3368  0.6632  2 Ac 3.38, 8 Nd 3.39-3.63
Nd  0.5000  0.1422  0.3755  1 Ac 3.36, 5 Nd 3.59-3.63
Nd  0.5000  0.8578  0.6245  1 Ac 3.36, 5 Nd 3.59-3.63
Nd  0.5000  0.3755  0.1422  1 Ac 3.36, 5 Nd 3.59-3.63
Nd  0.5000  0.6245  0.8578  1 Ac 3.36, 5 Nd 3.59-3.63
Nd  0.5000  0.5000  0.5000  10 Nd 3.39-3.63
Dy  0.0000  0.0000  0.0000  4 Ac 3.56, 2 Dy 3.63

=====

Material: Ac2Nd8Dy
Method: DFT, PBE
State: optimized geometry

- Distance to the lowest polymorph of the same formula: 0.027 eV/atom
- Crystal system: monoclinic

a = 5.7916 Å, b = 10.6719 Å, c = 10.6719 Å
α = 39.32°, β = 93.20°, γ = 93.20°
Closest atoms and distances in Å follow each position.
Positions (direct):
Ac  0.7421  0.2811  0.2811  11 Nd 3.50-3.90
Ac  0.2579  0.7189  0.7189  11 Nd 3.50-3.90
Nd  0.2672  0.1413  0.6146  7 Nd 3.40-3.78, 1 Dy 3.53, 1 Ac 3.71
Nd  0.2672  0.6146  0.1413  7 Nd 3.40-3.78, 1 Dy 3.53, 1 Ac 3.71
Nd  0.7328  0.8587  0.3854  7 Nd 3.40-3.78, 1 Dy 3.53, 1 Ac 3.71
Nd  0.2346  0.5443  0.5443  1 Nd 3.16, 1 Ac 3.50
Nd  0.7328  0.3854  0.8587  7 Nd 3.40-3.78, 1 Dy 3.53, 1 Ac 3.71
Nd  0.2245  0.1757  0.1757  4 Nd 3.53-3.71, 4 Ac 3.57-3.70, 1 Dy 3.69
Nd  0.7755  0.8243  0.8243  4 Nd 3.53-3.71, 4 Ac 3.57-3.70, 1 Dy 3.69
Nd  0.7654  0.4557  0.4557  1 Nd 3.16, 1 Ac 3.50
Dy  0.0000  0.0000  0.0000  10 Nd 3.53-3.92

=====

Material: AcNd12Dy6
Method: DFT, PBE
State: optimized geometry

- Distance to the lowest polymorph of the same formula: 0.000 eV/atom
- Crystal system: trigonal

a = 8.7483 Å, b = 8.7483 Å, c = 8.7483 Å
α = 88.73°, β = 88.73°, γ = 88.73°
Closest atoms and distances in Å follow each position.
Positions (direct):
Ac  0.0000  0.0000  0.0000  6 Dy 3.58, 6 Nd 3.67
Nd  0.7784  0.5392  0.4302  3 Dy 3.33-3.53, 4 Nd 3.36-3.62
Nd  0.4302  0.7784  0.5392  3 Dy 3.33-3.53, 4 Nd 3.36-3.62
Nd  0.5392  0.4302  0.7784  3 Dy 3.33-3.53, 4 Nd 3.36-3.62
Nd  0.2216  0.4608  0.5698  3 Dy 3.33-3.53, 4 Nd 3.36-3.62
Nd  0.5698  0.2216  0.4608  3 Dy 3.33-3.53, 4 Nd 3.36-3.62
Nd  0.4608  0.5698  0.2216  3 Dy 3.33-3.53, 4 Nd 3.36-3.62
Nd  0.0148  0.2013  0.3632  4 Nd 3.49-3.69, 4 Dy 3.56-3.72, 1 Ac 3.67
Nd  0.7987  0.6368  0.9852  4 Nd 3.49-3.69, 4 Dy 3.56-3.72, 1 Ac 3.67
Nd  0.6368  0.9852  0.7987  4 Nd 3.49-3.69, 4 Dy 3.56-3.72, 1 Ac 3.67
Nd  0.9852  0.7987  0.6368  4 Nd 3.49-3.69, 4 Dy 3.56-3.72, 1 Ac 3.67
Nd  0.2013  0.3632  0.0148  4 Nd 3.49-3.69, 4 Dy 3.56-3.72, 1 Ac 3.67
Nd  0.3632  0.0148  0.2013  4 Nd 3.49-3.69, 4 Dy 3.56-3.72, 1 Ac 3.67
Dy  0.7401  0.9008  0.3058  7 Nd 3.33-3.72, 1 Ac 3.58, 2 Dy 3.61
Dy  0.6942  0.2599  0.0992  7 Nd 3.33-3.72, 1 Ac 3.58, 2 Dy 3.61
Dy  0.0992  0.6942  0.2599  7 Nd 3.33-3.72, 1 Ac 3.58, 2 Dy 3.61
Dy  0.2599  0.0992  0.6942  7 Nd 3.33-3.72, 1 Ac 3.58, 2 Dy 3.61
Dy  0.3058  0.7401  0.9008  7 Nd 3.33-3.72, 1 Ac 3.58, 2 Dy 3.61
Dy  0.9008  0.3058  0.7401  7 Nd 3.33-3.72, 1 Ac 3.58, 2 Dy 3.61

=====

Material: Ac2Nd2Dy
Method: DFT, PBE
State: optimized geometry

- Distance to the lowest polymorph of the same formula: 0.316 eV/atom
- Crystal system: tetragonal

a = 4.9484 Å, b = 4.9484 Å, c = 9.0815 Å
α = 105.81°, β = 105.81°, γ = 90.00°
Closest atoms and distances in Å follow each position.
Positions (direct):
Ac  0.7500  0.2500  0.5000  4 Ac 3.50, 4 Nd 3.64
Ac  0.2500  0.7500  0.5000  4 Ac 3.50, 4 Nd 3.64
Nd  0.4092  0.4092  0.8185  1 Nd 3.04
Nd  0.5908  0.5908  0.1815  1 Nd 3.04
Dy  0.0000  0.0000  0.0000  8 Nd 3.82

=====

Material: Ac2Nd4Dy5
Method: DFT, PBE
State: optimized geometry

- Crystal system: monoclinic

a = 3.6882 Å, b = 10.9909 Å, c = 14.1915 Å
α = 136.95°, β = 97.47°, γ = 90.00°
Closest atoms and distances in Å follow each position.
Positions (direct):
Ac  0.5937  0.7349  0.1874  5 Dy 3.57-3.72, 3 Ac 3.69-3.79, 4 Nd 3.76-3.77
Ac  0.4063  0.2651  0.8126  5 Dy 3.57-3.72, 3 Ac 3.69-3.79, 4 Nd 3.76-3.77
Nd  0.6822  0.4539  0.3645  6 Dy 3.58-3.67, 6 Nd 3.62-3.69
Nd  0.0472  0.3588  0.0944  4 Dy 3.60-3.71, 4 Nd 3.62-3.69, 4 Ac 3.76-3.77
Nd  0.3178  0.5461  0.6355  6 Dy 3.58-3.67, 6 Nd 3.62-3.69
Nd  0.9528  0.6412  0.9056  4 Dy 3.60-3.71, 4 Nd 3.62-3.69, 4 Ac 3.76-3.77
Dy  0.1367  0.1002  0.2734  4 Nd 3.58-3.71, 6 Dy 3.63-3.69, 2 Ac 3.72
Dy  0.8633  0.8998  0.7266  4 Nd 3.58-3.71, 6 Dy 3.63-3.69, 2 Ac 3.72
Dy  0.2304  0.8189  0.4608  3 Ac 3.57-3.72, 6 Dy 3.64-3.74, 3 Nd 3.65-3.70
Dy  0.5000  0.0000  0.0000  6 Nd 3.60-3.67, 6 Dy 3.63-3.69
Dy  0.7696  0.1811  0.5392  3 Ac 3.57-3.72, 6 Dy 3.64-3.74, 3 Nd 3.65-3.70

=====

| no. | formation enthalpy at 0 K (eV/f.u.) | electronic total energy (eV for the cell shown) |
| --- | --- | --- |
| 1 | 0.69 | -43.33 |
| 2 | 0.36 | -53.85 |
| 3 | 0.29 | -45.90 |
| 4 | 0.97 | -43.24 |
| 5 | 0.42 | -50.21 |
| 6 | 4.29 | -41.91 |
| 7 | 2.05 | -48.91 |
| 8 | 2.58 | -86.35 |
| 9 | 2.27 | -20.09 |
| 10 | 0.41 | -49.89 |